No. 1
VASP calculation (PBE-GGA) on a relaxed structure of SrWBr2.

Results
formation energy without anion corrections: 1.23 eV per formula unit

abc: 6.1487 5.9517 3.8906
angles: 70.91 90.02 121.11
Sites, in units of the cell vectors:
1 Sr 0.0000 0.5000 0.5000
2 Br 0.0000 0.0000 0.0000
3 Br 0.5000 0.0000 0.5000
4 W 0.5000 0.5000 0.0000

No. 2
VASP calculation (PBE-GGA) on a relaxed structure of SrW4Br.

Results
formation energy without anion corrections: 6.92 eV per formula unit

abc: 5.5651 5.5651 5.5651
angles: 60.00 60.00 60.00
Sites, in units of the cell vectors:
1 Sr 0.0000 0.0000 0.0000
2 W 0.8735 0.3755 0.3755
3 W 0.3755 0.3755 0.8735
4 W 0.3755 0.8735 0.3755
5 W 0.3755 0.3755 0.3755
6 Br 0.7500 0.7500 0.7500

No. 3
VASP calculation (PBE-GGA) on a relaxed structure of SrWBr2.

Results
formation energy without anion corrections: 1.39 eV per formula unit

abc: 3.6336 3.6337 10.2778
angles: 90.00 90.00 90.06
Sites, in units of the cell vectors:
1 Sr 0.5000 0.5000 0.2500
2 Br 0.0000 0.0000 0.0757
3 Br 0.0000 0.0000 0.4243
4 W 0.5000 0.5000 0.7500

| no. | final energy (eV/cell) |
| --- | --- |
| 1 | -16.75 |
| 2 | -48.25 |
| 3 | -16.59 |